# 1
VASP calculation (PBE) on an optimized crystal structure of BiPd2O4.

Values from the calculation:
Space-group type: Fd-3m, No. 227
Polymorph energy (0 for the lowest one), meV/atom: 278

Cell: 6.5182 6.5182 6.5182 Å, 120.00 90.01 120.00°
With the nearest neighbours (Å) after each atom.
Atoms (fractional coordinates):
1 O 0.1787 0.7859 0.3929  3 Pd 2.15, 1 Bi 2.28
2 O 0.6071 0.7859 0.3930  3 Pd 2.15, 1 Bi 2.28
3 O 0.1430 0.2859 0.8571  3 Pd 2.15, 1 Bi 2.28
4 O 0.1429 0.2859 0.4287  3 Pd 2.15, 1 Bi 2.28
5 O 0.5713 0.7141 0.8571  3 Pd 2.15, 1 Bi 2.28
6 O 0.6071 0.2141 0.8213  3 Pd 2.15, 1 Bi 2.28
7 O 0.6070 0.2141 0.3929  3 Pd 2.15, 1 Bi 2.28
8 O 0.1429 0.7141 0.8570  3 Pd 2.15, 1 Bi 2.28
9 Pd 0.3750 0.7500 0.1250  6 O 2.15
10 Pd 0.3750 0.2500 0.6250  6 O 2.15
11 Pd 0.3750 0.7500 0.6250  6 O 2.15
12 Pd 0.8750 0.2500 0.6250  6 O 2.15
13 Bi 0.0000 0.0000 0.0000  4 O 2.28
14 Bi 0.7500 0.5000 0.2500  4 O 2.28

# 2
VASP calculation (PBE) on an optimized crystal structure of YMgAg2.

Values from the calculation:
Electronic total energy, Ha/atom: -0.134
Space-group type: Pnma, No. 62

Cell: 6.2509 7.4635 7.4902 Å, 90.00 90.00 90.00°
With the nearest neighbours (Å) after each atom.
Atoms (fractional coordinates):
1 Ag 0.5610 0.9500 0.1932  3 Mg 2.70-2.78, 1 Ag 2.99
2 Ag 0.4390 0.0500 0.8068  3 Mg 2.70-2.78, 1 Ag 2.99
3 Ag 0.9390 0.5500 0.6932  3 Mg 2.70-2.78, 1 Ag 2.99
4 Ag 0.0610 0.0500 0.3068  3 Mg 2.70-2.78, 1 Ag 2.99
5 Ag 0.4390 0.4500 0.8068  3 Mg 2.70-2.78, 1 Ag 2.99
6 Ag 0.0610 0.4500 0.3068  3 Mg 2.70-2.78, 1 Ag 2.99
7 Ag 0.5610 0.5500 0.1932  3 Mg 2.70-2.78, 1 Ag 2.99
8 Ag 0.9390 0.9500 0.6932  3 Mg 2.70-2.78, 1 Ag 2.99
9 Y 0.3296 0.7500 0.5307  8 Ag 3.11-3.27, 3 Mg 3.28-3.44
10 Y 0.1704 0.7500 0.0307  8 Ag 3.11-3.27, 3 Mg 3.28-3.44
11 Y 0.8296 0.2500 0.9693  8 Ag 3.11-3.27, 3 Mg 3.28-3.44
12 Y 0.6705 0.2500 0.4693  8 Ag 3.11-3.27, 3 Mg 3.28-3.44
13 Mg 0.3313 0.2500 0.1075  6 Ag 2.70-2.78
14 Mg 0.8313 0.7500 0.3925  6 Ag 2.70-2.78
15 Mg 0.1687 0.2500 0.6075  6 Ag 2.70-2.78
16 Mg 0.6687 0.7500 0.8925  6 Ag 2.70-2.78

# 3
VASP calculation (PBE) on an optimized crystal structure of RbHoGeSe3.

Values from the calculation:
Space-group type: Cmcm, No. 63
Polymorph energy (0 for the lowest one), meV/atom: 140

Cell: 7.9566 7.9566 11.5698 Å, 90.00 90.00 148.80°
With the nearest neighbours (Å) after each atom.
Atoms (fractional coordinates):
1 Se 0.3757 0.6243 0.9661  1 Ge 2.71, 2 Ho 2.89
2 Se 0.6243 0.3757 0.0339  1 Ge 2.71, 2 Ho 2.89
3 Se 0.0466 0.9534 0.7500  2 Ge 2.66
4 Se 0.6243 0.3757 0.4661  1 Ge 2.71, 2 Ho 2.89
5 Se 0.9534 0.0466 0.2500  2 Ge 2.66
6 Se 0.3757 0.6243 0.5339  1 Ge 2.71, 2 Ho 2.89
7 Ge 0.4441 0.5559 0.7500  4 Se 2.66-2.71
8 Ge 0.5559 0.4441 0.2500  4 Se 2.66-2.71
9 Ho 0.0000 0.0000 0.5000  6 Se 2.89-2.98
10 Ho 0.0000 0.0000 0.0000  6 Se 2.89-2.98
11 Rb 0.7373 0.2627 0.7500  8 Se 3.62-3.92, 2 Ge 3.82
12 Rb 0.2627 0.7373 0.2500  8 Se 3.62-3.92, 2 Ge 3.82

# 4
VASP calculation (PBE) on an optimized crystal structure of Nb7P4.

Values from the calculation:
Electronic total energy, Ha/atom: -0.340
Space-group type: C2/m, No. 12

Cell: 3.4517 7.7209 13.9341 Å, 104.42 90.00 102.92°
With the nearest neighbours (Å) after each atom.
Atoms (fractional coordinates):
1 P 0.8261 0.6522 0.8878  8 Nb 2.54-2.72
2 P 0.3697 0.7394 0.3356  8 Nb 2.56-2.65
3 P 0.9361 0.8721 0.1506  7 Nb 2.46-2.61
4 P 0.3736 0.7472 0.6020  7 Nb 2.47-2.65
5 P 0.1739 0.3478 0.1122  8 Nb 2.54-2.72
6 P 0.6264 0.2528 0.3980  7 Nb 2.47-2.65
7 P 0.6303 0.2606 0.6644  8 Nb 2.56-2.65
8 P 0.0639 0.1279 0.8494  7 Nb 2.46-2.61
9 Nb 0.6622 0.3244 0.9723  4 P 2.58-2.61
10 Nb 0.3378 0.6756 0.0277  4 P 2.58-2.61
11 Nb 0.7904 0.5808 0.1996  5 P 2.46-2.62
12 Nb 0.1952 0.3905 0.3122  4 P 2.47-2.72
13 Nb 0.4315 0.8630 0.8272  4 P 2.60-2.63
14 Nb 0.8048 0.6095 0.6878  4 P 2.47-2.72
15 Nb 0.8250 0.6501 0.4598  5 P 2.59-2.89
16 Nb 0.9966 0.9932 0.3346  5 P 2.49-2.59
17 Nb 0.0000 0.0000 0.0000  4 P 2.52-2.68
18 Nb 0.1750 0.3499 0.5402  5 P 2.59-2.89
19 Nb 0.5685 0.1370 0.1728  4 P 2.60-2.63
20 Nb 0.0034 0.0068 0.6654  5 P 2.49-2.59
21 Nb 0.5000 0.0000 0.5000  4 P 2.61-2.65, 4 Nb 2.87
22 Nb 0.2096 0.4192 0.8004  5 P 2.46-2.62

| no. | mass density (g cm⁻³) |
| --- | --- |
| 1 | 8.24 |
| 2 | 6.25 |
| 3 | 4.90 |
| 4 | 7.35 |